# 1
# CdMoC3

An optimized crystal structure of CdMoC3 (PBE, the Alexandria database).

Output
Its crystal system is cubic. For the calculated density, the calculation gives 5.728 g/cm³. The calculation puts the formation energy at 3.475 eV per atom. The density of states at the Fermi level is 3.088 states/eV per cell. As for the spin magnetization: 1.69 μB/cell. Its uncorrected energy is -4.408 eV per atom.

Lattice parameters (Å, degrees): 4.1379 4.1379 4.1379 90.00 90.00 90.00
Element x y z (fractional)
1 Cd 0.0000 0.0000 0.0000
2 Mo 0.5000 0.5000 0.5000
3 C 0.0000 0.0000 0.5000
4 C 0.0000 0.5000 0.0000
5 C 0.5000 0.0000 0.0000

***

# 2
# CdMo2C

An optimized crystal structure of CdMo2C (PBE, the Alexandria database).

Output
Its crystal system is tetragonal. For the calculated density, the calculation gives 6.909 g/cm³. The calculation puts the formation energy at 1.074 eV per atom. The density of states at the Fermi level is 17.021 states/eV per cell. As for the spin magnetization: 0.00 μB/cell. Its uncorrected energy is -6.877 eV per atom.

Lattice parameters (Å, degrees): 5.1622 5.1622 11.4117 90.00 90.00 90.00
Element x y z (fractional)
1 Cd 0.0000 0.0000 0.0000
2 Cd 0.0000 0.5000 0.2500
3 Cd 0.5000 0.0000 0.7500
4 Cd 0.5000 0.5000 0.5000
5 Mo 0.1015 0.2500 0.6250
6 Mo 0.2500 0.6015 0.8750
7 Mo 0.2500 0.8985 0.3750
8 Mo 0.3985 0.2500 0.1250
9 Mo 0.6015 0.7500 0.1250
10 Mo 0.7500 0.1015 0.3750
11 Mo 0.7500 0.3985 0.8750
12 Mo 0.8985 0.7500 0.6250
13 C 0.0000 0.0000 0.5000
14 C 0.0000 0.5000 0.7500
15 C 0.5000 0.0000 0.2500
16 C 0.5000 0.5000 0.0000

***

# 3
# CdMoC3

An optimized crystal structure of CdMoC3 (PBE, the Alexandria database).

Output
Its crystal system is cubic. For the calculated density, the calculation gives 5.730 g/cm³. The calculation puts the formation energy at 1.839 eV per atom. The density of states at the Fermi level is 2.711 states/eV per cell. As for the spin magnetization: 0.00 μB/cell. Its uncorrected energy is -6.044 eV per atom.

Lattice parameters (Å, degrees): 4.1374 4.1374 4.1374 90.00 90.00 90.00
Element x y z (fractional)
1 Cd 0.0000 0.0000 0.0000
2 Mo 0.5000 0.5000 0.5000
3 C 0.0000 0.5000 0.5000
4 C 0.5000 0.0000 0.5000
5 C 0.5000 0.5000 0.0000

***

# 4
# Sc2CdMoC

An optimized crystal structure of Sc2CdMoC (PBE, the Alexandria database).

Output
Its crystal system is tetragonal. For the calculated density, the calculation gives 5.944 g/cm³. The calculation puts the formation energy at -0.281 eV per atom. The density of states at the Fermi level is 3.288 states/eV per cell. As for the spin magnetization: 0.71 μB/cell. Its uncorrected energy is -7.007 eV per atom.

Lattice parameters (Å, degrees): 4.5516 4.5516 4.1838 90.00 90.00 90.00
Element x y z (fractional)
1 Sc 0.0000 0.5000 0.0000
2 Sc 0.5000 0.0000 0.0000
3 Cd 0.0000 0.0000 0.5000
4 Mo 0.5000 0.5000 0.5000
5 C 0.5000 0.5000 0.0000

***

# 5
# TlCdMo2C

An optimized crystal structure of TlCdMo2C (PBE, the Alexandria database).

Output
Its crystal system is tetragonal. For the calculated density, the calculation gives 5.756 g/cm³. The calculation puts the formation energy at 3.157 eV per atom. The density of states at the Fermi level is 2.644 states/eV per cell. As for the spin magnetization: 5.57 μB/cell. Its uncorrected energy is -3.676 eV per atom.

Lattice parameters (Å, degrees): 5.3366 5.3366 5.2741 90.00 90.00 90.00
Element x y z (fractional)
1 Tl 0.0000 0.0000 0.0000
2 Cd 0.0000 0.0000 0.5000
3 Mo 0.0000 0.5000 0.0000
4 Mo 0.5000 0.0000 0.0000
5 C 0.5000 0.5000 0.5000

***

# 6
# TlCdMoC2

An optimized crystal structure of TlCdMoC2 (PBE, the Alexandria database).

Output
Its crystal system is tetragonal. For the calculated density, the calculation gives 6.775 g/cm³. The calculation puts the formation energy at 2.971 eV per atom. The density of states at the Fermi level is 2.264 states/eV per cell. As for the spin magnetization: 2.96 μB/cell. Its uncorrected energy is -3.541 eV per atom.

Lattice parameters (Å, degrees): 4.3960 4.3960 5.5394 90.00 90.00 90.00
Element x y z (fractional)
1 Tl 0.0000 0.0000 0.0000
2 Cd 0.5000 0.5000 0.5000
3 Mo 0.0000 0.0000 0.5000
4 C 0.0000 0.5000 0.0000
5 C 0.5000 0.0000 0.0000

***

# 7
# V2CdMoC

An optimized crystal structure of V2CdMoC (PBE, the Alexandria database).

Output
Its crystal system is tetragonal. For the calculated density, the calculation gives 6.068 g/cm³. The calculation puts the formation energy at 2.522 eV per atom. The density of states at the Fermi level is 8.236 states/eV per cell. As for the spin magnetization: 0.00 μB/cell. Its uncorrected energy is -5.319 eV per atom.

Lattice parameters (Å, degrees): 4.8531 4.8531 3.7442 90.00 90.00 90.00
Element x y z (fractional)
1 V 0.0000 0.5000 0.0000
2 V 0.5000 0.0000 0.0000
3 Cd 0.0000 0.0000 0.0000
4 Mo 0.5000 0.5000 0.5000
5 C 0.0000 0.0000 0.5000

***

# 8
# Y2CdMoC

An optimized crystal structure of Y2CdMoC (PBE, the Alexandria database).

Output
Its crystal system is tetragonal. For the calculated density, the calculation gives 6.400 g/cm³. The calculation puts the formation energy at -0.182 eV per atom. The density of states at the Fermi level is 5.823 states/eV per cell. As for the spin magnetization: 0.00 μB/cell. Its uncorrected energy is -6.961 eV per atom.

Lattice parameters (Å, degrees): 5.0132 5.0132 4.1108 90.00 90.00 90.00
Element x y z (fractional)
1 Y 0.0000 0.5000 0.0000
2 Y 0.5000 0.0000 0.0000
3 Cd 0.0000 0.0000 0.5000
4 Mo 0.5000 0.5000 0.5000
5 C 0.5000 0.5000 0.0000

***

# 9
# Zr2CdMoC

An optimized crystal structure of Zr2CdMoC (PBE, the Alexandria database).

Output
Its crystal system is tetragonal. For the calculated density, the calculation gives 7.535 g/cm³. The calculation puts the formation energy at -0.272 eV per atom. The density of states at the Fermi level is 2.476 states/eV per cell. As for the spin magnetization: 0.00 μB/cell. Its uncorrected energy is -7.885 eV per atom.

Lattice parameters (Å, degrees): 4.6487 4.6487 4.1077 90.00 90.00 90.00
Element x y z (fractional)
1 Zr 0.0000 0.5000 0.0000
2 Zr 0.5000 0.0000 0.0000
3 Cd 0.0000 0.0000 0.5000
4 Mo 0.5000 0.5000 0.5000
5 C 0.5000 0.5000 0.0000

***

# 10
# CdC2N2

An optimized crystal structure of CdC2N2 (PBE, the Alexandria database).

Output
Its crystal system is cubic. For the calculated density, the calculation gives 2.026 g/cm³. As for the formation energy without anion corrections: 357 meV/atom. The density of states at the Fermi level is 0.000 states/eV per cell. As for the spin magnetization: 0.00 μB/cell. Its uncorrected energy is -6.845 eV per atom.

Lattice parameters (Å, degrees): 6.4594 6.4594 6.4594 90.00 90.00 90.00
Element x y z (fractional)
1 Cd 0.0000 0.0000 0.0000
2 Cd 0.5000 0.5000 0.5000
3 C 0.1996 0.1996 0.1996
4 C 0.1996 0.8004 0.8004
5 C 0.8004 0.1996 0.8004
6 C 0.8004 0.8004 0.1996
7 N 0.3039 0.3039 0.3039
8 N 0.3039 0.6961 0.6961
9 N 0.6961 0.3039 0.6961
10 N 0.6961 0.6961 0.3039

***

# 11
# CdCN

An optimized crystal structure of CdCN (PBE, the Alexandria database).

Output
Its crystal system is monoclinic. For the calculated density, the calculation gives 4.805 g/cm³. As for the formation energy without anion corrections: 771 meV/atom. The density of states at the Fermi level is 5.040 states/eV per cell. As for the spin magnetization: 0.00 μB/cell. Its uncorrected energy is -5.383 eV per atom.

Lattice parameters (Å, degrees): 23.0264 2.4486 3.3981 90.00 92.92 90.00
Element x y z (fractional)
1 Cd 0.0581 0.0000 0.3032
2 Cd 0.4419 0.5000 0.6968
3 Cd 0.5581 0.5000 0.3032
4 Cd 0.9419 0.0000 0.6968
5 C 0.1630 0.0000 0.2166
6 C 0.3370 0.5000 0.7834
7 C 0.6630 0.5000 0.2166
8 C 0.8370 0.0000 0.7834
9 N 0.1860 0.5000 0.2029
10 N 0.3140 0.0000 0.7971
11 N 0.6860 0.0000 0.2029
12 N 0.8140 0.5000 0.7971

***

# 12
# CdC4N2

An optimized crystal structure of CdC4N2 (PBE, the Alexandria database).

Output
Its crystal system is tetragonal. For the calculated density, the calculation gives 3.143 g/cm³. As for the formation energy without anion corrections: 2404 meV/atom. The density of states at the Fermi level is 5.743 states/eV per cell. As for the spin magnetization: 2.78 μB/cell. Its uncorrected energy is -5.377 eV per atom.

Lattice parameters (Å, degrees): 4.4757 4.4757 9.9425 90.00 90.00 90.00
Element x y z (fractional)
1 Cd 0.0000 0.0000 0.0000
2 Cd 0.5000 0.5000 0.5000
3 C 0.0000 0.0000 0.2426
4 C 0.0000 0.0000 0.7574
5 C 0.0000 0.5000 0.0000
6 C 0.0000 0.5000 0.5000
7 C 0.5000 0.0000 0.0000
8 C 0.5000 0.0000 0.5000
9 C 0.5000 0.5000 0.2574
10 C 0.5000 0.5000 0.7426
11 N 0.0000 0.0000 0.3618
12 N 0.0000 0.0000 0.6382
13 N 0.5000 0.5000 0.1382
14 N 0.5000 0.5000 0.8618

***

# 13
# CdC3N

An optimized crystal structure of CdC3N (PBE, the Alexandria database).

Output
Its crystal system is cubic. For the calculated density, the calculation gives 3.515 g/cm³. As for the formation energy without anion corrections: 4566 meV/atom. The density of states at the Fermi level is 2.710 states/eV per cell. As for the spin magnetization: 0.00 μB/cell. Its uncorrected energy is -2.816 eV per atom.

Lattice parameters (Å, degrees): 4.2497 4.2497 4.2497 90.00 90.00 90.00
Element x y z (fractional)
1 Cd 0.0000 0.0000 0.0000
2 C 0.0000 0.0000 0.5000
3 C 0.0000 0.5000 0.0000
4 C 0.5000 0.0000 0.0000
5 N 0.5000 0.5000 0.5000

***

# 14
# CdC3N

An optimized crystal structure of CdC3N (PBE, the Alexandria database).

Output
Its crystal system is cubic. For the calculated density, the calculation gives 5.444 g/cm³. As for the formation energy without anion corrections: 3262 meV/atom. The density of states at the Fermi level is 1.590 states/eV per cell. As for the spin magnetization: 0.00 μB/cell. Its uncorrected energy is -4.120 eV per atom.

Lattice parameters (Å, degrees): 3.6731 3.6731 3.6731 90.00 90.00 90.00
Element x y z (fractional)
1 Cd 0.0000 0.0000 0.0000
2 C 0.0000 0.5000 0.5000
3 C 0.5000 0.0000 0.5000
4 C 0.5000 0.5000 0.0000
5 N 0.5000 0.5000 0.5000

***

# 15
# CdC2N2

An optimized crystal structure of CdC2N2 (PBE, the Alexandria database).

Output
Its crystal system is tetragonal. For the calculated density, the calculation gives 5.985 g/cm³. As for the formation energy without anion corrections: 2476 meV/atom. The density of states at the Fermi level is 1.525 states/eV per cell. As for the spin magnetization: 0.00 μB/cell. Its uncorrected energy is -4.727 eV per atom.

Lattice parameters (Å, degrees): 3.8936 3.8936 6.0197 90.00 90.00 90.00
Element x y z (fractional)
1 Cd 0.0000 0.0000 0.0000
2 Cd 0.5000 0.5000 0.5000
3 C 0.0000 0.0000 0.3790
4 C 0.0000 0.0000 0.6210
5 C 0.5000 0.5000 0.1210
6 C 0.5000 0.5000 0.8790
7 N 0.0000 0.5000 0.2500
8 N 0.0000 0.5000 0.7500
9 N 0.5000 0.0000 0.2500
10 N 0.5000 0.0000 0.7500

***

# 16
# CdC2N2

An optimized crystal structure of CdC2N2 (PBE, the Alexandria database).

Output
Its crystal system is tetragonal. For the calculated density, the calculation gives 5.036 g/cm³. As for the formation energy without anion corrections: 2628 meV/atom. The density of states at the Fermi level is 1.599 states/eV per cell. As for the spin magnetization: 0.00 μB/cell. Its uncorrected energy is -4.574 eV per atom.

Lattice parameters (Å, degrees): 6.3432 6.3432 2.6955 90.00 90.00 90.00
Element x y z (fractional)
1 Cd 0.0000 0.0000 0.0000
2 Cd 0.5000 0.5000 0.0000
3 C 0.0750 0.4250 0.0000
4 C 0.4250 0.9250 0.0000
5 C 0.5750 0.0750 0.0000
6 C 0.9250 0.5750 0.0000
7 N 0.1333 0.6333 0.5000
8 N 0.3667 0.1333 0.5000
9 N 0.6333 0.8667 0.5000
10 N 0.8667 0.3667 0.5000

***

# 17
# Cd2CN

An optimized crystal structure of Cd2CN (PBE, the Alexandria database).

Output
Its crystal system is tetragonal. For the calculated density, the calculation gives 6.202 g/cm³. As for the formation energy without anion corrections: 1597 meV/atom. The density of states at the Fermi level is 13.663 states/eV per cell. As for the spin magnetization: 0.00 μB/cell. Its uncorrected energy is -3.248 eV per atom.

Lattice parameters (Å, degrees): 5.5039 5.5039 8.8673 90.00 90.00 90.00
Element x y z (fractional)
1 Cd 0.2408 0.2500 0.1250
2 Cd 0.2500 0.7408 0.3750
3 Cd 0.2500 0.7592 0.8750
4 Cd 0.2592 0.2500 0.6250
5 Cd 0.7408 0.7500 0.6250
6 Cd 0.7500 0.2408 0.8750
7 Cd 0.7500 0.2592 0.3750
8 Cd 0.7592 0.7500 0.1250
9 C 0.0000 0.0000 0.5000
10 C 0.0000 0.5000 0.7500
11 C 0.5000 0.0000 0.2500
12 C 0.5000 0.5000 0.0000
13 N 0.0000 0.0000 0.0000
14 N 0.0000 0.5000 0.2500
15 N 0.5000 0.0000 0.7500
16 N 0.5000 0.5000 0.5000

***

# 18
# CdC2N2

An optimized crystal structure of CdC2N2 (PBE, the Alexandria database).

Output
Its crystal system is tetragonal. For the calculated density, the calculation gives 2.030 g/cm³. As for the formation energy without anion corrections: 350 meV/atom. The density of states at the Fermi level is 0.000 states/eV per cell. As for the spin magnetization: 0.00 μB/cell. Its uncorrected energy is -6.853 eV per atom.

Lattice parameters (Å, degrees): 6.5251 6.5251 6.3201 90.00 90.00 90.00
Element x y z (fractional)
1 Cd 0.0000 0.0000 0.0000
2 Cd 0.5000 0.5000 0.5000
3 C 0.2050 0.2050 0.1777
4 C 0.2950 0.7050 0.6777
5 C 0.7050 0.2950 0.6777
6 C 0.7950 0.7950 0.1777
7 N 0.1890 0.8110 0.7784
8 N 0.3110 0.3110 0.2784
9 N 0.6890 0.6890 0.2784
10 N 0.8110 0.1890 0.7784

***

# 19
# Cd3CN

An optimized crystal structure of Cd3CN (PBE, the Alexandria database).

Output
Its crystal system is cubic. For the calculated density, the calculation gives 6.848 g/cm³. As for the formation energy without anion corrections: 1360 meV/atom. The density of states at the Fermi level is 6.796 states/eV per cell. As for the spin magnetization: 1.00 μB/cell. Its uncorrected energy is -2.699 eV per atom.

Lattice parameters (Å, degrees): 4.4493 4.4493 4.4493 90.00 90.00 90.00
Element x y z (fractional)
1 Cd 0.0000 0.0000 0.5000
2 Cd 0.0000 0.5000 0.0000
3 Cd 0.5000 0.0000 0.0000
4 C 0.0000 0.0000 0.0000
5 N 0.5000 0.5000 0.5000

***

# 20
# CdC8N6

An optimized crystal structure of CdC8N6 (PBE, the Alexandria database).

Output
Its crystal system is orthorhombic. For the calculated density, the calculation gives 2.018 g/cm³. As for the formation energy without anion corrections: 412 meV/atom. The density of states at the Fermi level is 0.000 states/eV per cell. As for the spin magnetization: 0.00 μB/cell. Its uncorrected energy is -7.899 eV per atom.

Lattice parameters (Å, degrees): 7.9053 5.5546 10.9650 90.00 90.00 90.00
Element x y z (fractional)
1 Cd 0.0000 0.0000 0.0000
2 Cd 0.5000 0.0000 0.5000
3 C 0.0000 0.3983 0.2545
4 C 0.0000 0.4136 0.6599
5 C 0.0000 0.5864 0.3401
6 C 0.0000 0.6017 0.7455
7 C 0.1520 0.3128 0.6183
8 C 0.1520 0.6872 0.3817
9 C 0.3480 0.3128 0.8817
10 C 0.3480 0.6872 0.1183
11 C 0.5000 0.3983 0.2455
12 C 0.5000 0.4136 0.8401
13 C 0.5000 0.5864 0.1599
14 C 0.5000 0.6017 0.7545
15 C 0.6520 0.3128 0.8817
16 C 0.6520 0.6872 0.1183
17 C 0.8480 0.3128 0.6183
18 C 0.8480 0.6872 0.3817
19 N 0.0000 0.2419 0.1828
20 N 0.0000 0.7581 0.8172
21 N 0.2225 0.2272 0.9181
22 N 0.2225 0.7728 0.0819
23 N 0.2775 0.2272 0.5819
24 N 0.2775 0.7728 0.4181
25 N 0.5000 0.2419 0.3172
26 N 0.5000 0.7581 0.6828
27 N 0.7225 0.2272 0.5819
28 N 0.7225 0.7728 0.4181
29 N 0.7775 0.2272 0.9181
30 N 0.7775 0.7728 0.0819